Compound: LiP2RhW
Source: Alexandria via LeMat-Bulk
Functional: PBE
Structure: relaxed

a b c (Å): 4.661 4.661 4.883
angles (deg): 90.00 90.00 90.00
Positions (direct):
Li (0.000, 0.000, 0.000)
P (0.000, 0.500, 0.500)
P (0.500, 0.000, 0.500)
Rh (0.500, 0.500, 0.000)
W (0.500, 0.500, 0.500)

M_tot	0.0	μB per formula unit
total DFT energy (no corrections)	-6.075	eV/atom
calculated formation energy	0.532	eV per atom